(1)
An optimized crystal structure of Mg2NbB, computed with PBE.

Calculated values
Its calculated formation energy is -280 meV per atom.

a b c (Å): 15.803 15.803 15.803
angles (deg): 11.54 11.54 11.54
Element x y z (fractional)
Mg 0.139 0.139 0.139
Mg 0.249 0.249 0.249
Mg 0.751 0.751 0.751
Mg 0.861 0.861 0.861
Nb 0.032 0.032 0.032
Nb 0.968 0.968 0.968
B 0.333 0.333 0.333
B 0.667 0.667 0.667

***

(2)
An optimized crystal structure of Mg2NbB, computed with PBE.

Calculated values
Its calculated formation energy is -240 meV per atom.

a b c (Å): 3.307 25.810 3.133
angles (deg): 90.00 90.00 90.00
Element x y z (fractional)
Mg 0.000 0.125 0.250
Mg 0.000 0.291 0.250
Mg 0.000 0.709 0.750
Mg 0.000 0.875 0.750
Mg 0.500 0.209 0.750
Mg 0.500 0.375 0.750
Mg 0.500 0.625 0.250
Mg 0.500 0.791 0.250
Nb 0.000 0.450 0.250
Nb 0.000 0.550 0.750
Nb 0.500 0.050 0.750
Nb 0.500 0.950 0.250
B 0.000 0.017 0.250
B 0.000 0.983 0.750
B 0.500 0.483 0.750
B 0.500 0.517 0.250

***

(3)
An optimized crystal structure of Mg2NbB, computed with PBE.

Calculated values
Its calculated formation energy is -275 meV per atom.

a b c (Å): 5.495 3.179 15.866
angles (deg): 90.00 96.74 90.00
Element x y z (fractional)
Mg 0.000 0.000 0.000
Mg 0.109 0.500 0.837
Mg 0.221 0.500 0.165
Mg 0.390 0.500 0.669
Mg 0.500 0.500 0.000
Mg 0.609 0.000 0.837
Mg 0.721 0.000 0.165
Mg 0.890 0.000 0.669
Nb 0.106 0.000 0.320
Nb 0.172 0.000 0.513
Nb 0.606 0.500 0.320
Nb 0.672 0.500 0.513
B 0.306 0.500 0.417
B 0.472 0.000 0.417
B 0.806 0.000 0.417
B 0.972 0.500 0.417

***

(4)
An optimized crystal structure of Mg14NbB, computed with PBE.

Calculated values
Its calculated formation energy is 223 meV per atom.

a b c (Å): 6.243 6.243 9.748
angles (deg): 90.00 90.00 120.00
Element x y z (fractional)
Mg 0.000 0.000 0.243
Mg 0.000 0.000 0.757
Mg 0.023 0.512 0.262
Mg 0.023 0.512 0.738
Mg 0.327 0.163 0.500
Mg 0.343 0.171 0.000
Mg 0.488 0.512 0.262
Mg 0.488 0.512 0.738
Mg 0.488 0.977 0.262
Mg 0.488 0.977 0.738
Mg 0.829 0.171 0.000
Mg 0.829 0.657 0.000
Mg 0.837 0.163 0.500
Mg 0.837 0.673 0.500
Nb 0.333 0.667 0.000
B 0.333 0.667 0.500

***

(5)
An optimized crystal structure of Mg2NbB, computed with PBE.

Calculated values
Its calculated formation energy is -278 meV per atom.

a b c (Å): 15.835 15.835 15.835
angles (deg): 11.52 11.52 11.52
Element x y z (fractional)
Mg 0.000 0.000 0.000
Mg 0.110 0.110 0.110
Mg 0.388 0.388 0.388
Mg 0.832 0.832 0.832
Nb 0.217 0.217 0.217
Nb 0.281 0.281 0.281
B 0.583 0.583 0.583
B 0.916 0.916 0.916

***

(6)
An optimized crystal structure of MgNb2B, computed with PBE.

Calculated values
Its calculated formation energy is 362 meV per atom.

a b c (Å): 7.011 7.011 5.213
angles (deg): 90.00 90.00 90.00
Element x y z (fractional)
Mg 0.000 0.000 0.000
Mg 0.000 0.500 0.250
Mg 0.500 0.000 0.750
Mg 0.500 0.500 0.500
Nb 0.194 0.750 0.625
Nb 0.250 0.194 0.375
Nb 0.250 0.306 0.875
Nb 0.306 0.750 0.125
Nb 0.694 0.250 0.125
Nb 0.750 0.694 0.875
Nb 0.750 0.806 0.375
Nb 0.806 0.250 0.625
B 0.000 0.000 0.500
B 0.000 0.500 0.750
B 0.500 0.000 0.250
B 0.500 0.500 0.000

***

(7)
An optimized crystal structure of MgNb2B2, computed with PBE.

Calculated values
Its calculated formation energy is -321 meV per atom.

a b c (Å): 6.107 6.107 3.396
angles (deg): 90.00 90.00 90.00
Element x y z (fractional)
Mg 0.000 0.000 0.000
Mg 0.500 0.500 0.000
Nb 0.171 0.329 0.500
Nb 0.329 0.829 0.500
Nb 0.671 0.171 0.500
Nb 0.829 0.671 0.500
B 0.103 0.603 0.000
B 0.397 0.103 0.000
B 0.603 0.897 0.000
B 0.897 0.397 0.000

***

(8)
An optimized crystal structure of MgNb3B, computed with PBE.

Calculated values
Its calculated formation energy is 2394 meV per atom.

a b c (Å): 4.648 4.648 4.648
angles (deg): 90.00 90.00 90.00
Element x y z (fractional)
Mg 0.000 0.000 0.000
Nb 0.000 0.000 0.500
Nb 0.000 0.500 0.000
Nb 0.500 0.000 0.000
B 0.500 0.500 0.500